Material: NaCr2ReW
Method: DFT, GGA-PBEsol
State: relaxed

Values from the calculation:
formation enthalpy at 0 K	60.49	kcal/mol of atoms
M_tot	5.43	μB/f.u.

a = 4.1271 Å, b = 4.1271 Å, c = 4.5976 Å
α = 90.00°, β = 90.00°, γ = 90.00°
Space group P4/mmm (No. 123)
Symmetry-distinct sites (fractional):
Na  0.0000  0.0000  0.0000 [1 per cell]
Cr  0.0000  0.5000  0.0000 [2 per cell]
Re  0.0000  0.0000  0.5000 [1 per cell]
W  0.5000  0.5000  0.5000 [1 per cell]



Material: Na3CrS
Method: DFT, GGA-PBEsol
State: relaxed

Values from the calculation:
excess energy over the best structure of this formula in the dataset	0	meV/atom
M_tot	5.24	μB/f.u.

a = 5.2901 Å, b = 5.2901 Å, c = 5.2901 Å
α = 90.00°, β = 90.00°, γ = 90.00°
Space group Pm-3m (No. 221)
Symmetry-distinct sites (fractional):
Na  0.0000  0.0000  0.5000 [3 per cell]
Cr  0.5000  0.5000  0.5000 [1 per cell]
S  0.0000  0.0000  0.0000 [1 per cell]



Material: Na3CrS
Method: DFT, GGA-PBEsol
State: relaxed

Values from the calculation:
excess energy over the best structure of this formula in the dataset	647	meV/atom
M_tot	5.01	μB/f.u.

a = 5.4123 Å, b = 5.4123 Å, c = 5.4123 Å
α = 90.00°, β = 90.00°, γ = 90.00°
Space group Pm-3m (No. 221)
Symmetry-distinct sites (fractional):
Na  0.0000  0.0000  0.5000 [3 per cell]
Cr  0.0000  0.0000  0.0000 [1 per cell]
S  0.5000  0.5000  0.5000 [1 per cell]



Material: NaCrS2
Method: DFT, GGA-PBEsol
State: relaxed

Values from the calculation:
M_tot	3.00	μB/f.u.
E	-6.032	eV per atom

a = 3.5203 Å, b = 3.5203 Å, c = 6.5126 Å
α = 90.00°, β = 90.00°, γ = 120.00°
Space group P-3m1 (No. 164)
Symmetry-distinct sites (fractional):
Na  0.0000  0.0000  0.0000 [1 per cell]
Cr  0.0000  0.0000  0.5000 [1 per cell]
S  0.3333  0.6667  0.3045 [2 per cell]